No. 1
The following is a DFT calculation (PBE) of an optimized crystal structure of Pm6GaIr2I3.

a = 7.3539 Å, b = 7.3539 Å, c = 8.3939 Å
α = 98.40°, β = 98.40°, γ = 119.98°
Last column: nearest neighbours and their distance in Å.
Fractional coordinates of all 12 atoms:
Pm 0.0864 0.4372 0.8105  2 Ir 2.83-2.84, 1 Ga 2.99
Pm 0.2122 0.2122 0.1883  2 Ir 2.83, 1 Ga 2.99
Pm 0.4372 0.0864 0.8105  2 Ir 2.83-2.84, 1 Ga 2.99
Pm 0.5628 0.9136 0.1895  2 Ir 2.83-2.84, 1 Ga 2.99
Pm 0.7878 0.7878 0.8117  2 Ir 2.83, 1 Ga 2.99
Pm 0.9136 0.5628 0.1895  2 Ir 2.83-2.84, 1 Ga 2.99
Ga 0.5000 0.5000 0.0000  6 Pm 2.99
Ir 0.1670 0.8330 0.0000  6 Pm 2.83-2.84
Ir 0.8330 0.1670 0.0000  6 Pm 2.83-2.84
I 0.0000 0.0000 0.5000  6 Pm 3.42-3.54
I 0.3373 0.6627 0.5000  6 Pm 3.44-3.54
I 0.6627 0.3373 0.5000  6 Pm 3.44-3.54

Values from the calculation:
E_form (uncorrected) ... -20.4 kcal/mol of atoms
DOS at the Fermi energy ... 6.56 states/eV per cell
Total energy ... -0.3951 Ry per atom
Symmetry ... No. 12

No. 2
The following is a DFT calculation (PBE) of an optimized crystal structure of LiSc2Br.

a = 3.3339 Å, b = 3.3339 Å, c = 9.1533 Å
α = 90.00°, β = 90.00°, γ = 112.01°
Last column: nearest neighbours and their distance in Å.
Fractional coordinates of all 4 atoms:
Li 0.0000 0.0000 0.0000  2 Br 2.72
Sc 0.0000 0.0000 0.4480  2 Br 2.82, 2 Sc 3.01
Sc 0.5000 0.5000 0.7066  6 Sc 3.01-3.33, 2 Li 3.27
Br 0.5000 0.5000 0.2165  2 Li 2.72, 2 Sc 2.82

Values from the calculation:
ΔE to the lowest computed polymorph ... 0.000 eV per atom
E_form (uncorrected) ... -9.8 kcal/mol of atoms
DOS at the Fermi energy ... 4.01 states/eV per cell
Total energy ... -0.3297 Ry per atom
Symmetry ... No. 35

No. 3
The following is a DFT calculation (PBE) of an optimized crystal structure of LaRu.

a = 8.3216 Å, b = 4.5270 Å, c = 5.4735 Å
α = 90.00°, β = 90.00°, γ = 90.00°
Last column: nearest neighbours and their distance in Å.
Fractional coordinates of all 8 atoms:
La 0.1753 0.2500 0.0720  3 Ru 3.01
La 0.3247 0.7500 0.5720  3 Ru 3.01
La 0.6753 0.2500 0.4280  3 Ru 3.01
La 0.8247 0.7500 0.9280  3 Ru 3.01
Ru 0.0245 0.2500 0.5723  2 Ru 2.43
Ru 0.4755 0.7500 0.0723  2 Ru 2.43
Ru 0.5245 0.2500 0.9277  2 Ru 2.43
Ru 0.9755 0.7500 0.4277  2 Ru 2.43

Values from the calculation:
DOS at the Fermi energy ... 5.77 states/eV per cell
ΔE_f ... -147 meV per atom
Total energy ... -0.5328 Ry per atom
Symmetry ... No. 62

No. 4
The following is a DFT calculation (PBE) of an optimized crystal structure of LiMnAlH6.

a = 4.2996 Å, b = 4.2996 Å, c = 8.6738 Å
α = 90.00°, β = 90.00°, γ = 120.00°
Last column: nearest neighbours and their distance in Å.
Fractional coordinates of all 18 atoms:
Li 0.0000 0.0000 0.0000  6 H 2.05
Li 0.0000 0.0000 0.5000  6 H 2.05
Mn 0.3333 0.6667 0.2500  6 H 1.62
Mn 0.6667 0.3333 0.7500  6 H 1.62
Al 0.3333 0.6667 0.7500  6 H 1.81
Al 0.6667 0.3333 0.2500  6 H 1.81
H 0.0335 0.4226 0.1222  1 Mn 1.62, 1 Al 1.81
H 0.0335 0.6109 0.3778  1 Mn 1.62, 1 Al 1.81
H 0.3891 0.4226 0.3778  1 Mn 1.62, 1 Al 1.81
H 0.3891 0.9665 0.1222  1 Mn 1.62, 1 Al 1.81
H 0.4226 0.0335 0.6222  1 Mn 1.62, 1 Al 1.81
H 0.4226 0.3891 0.8778  1 Mn 1.62, 1 Al 1.81
H 0.5774 0.6109 0.1222  1 Mn 1.62, 1 Al 1.81
H 0.5774 0.9665 0.3778  1 Mn 1.62, 1 Al 1.81
H 0.6109 0.0335 0.8778  1 Mn 1.62, 1 Al 1.81
H 0.6109 0.5774 0.6222  1 Mn 1.62, 1 Al 1.81
H 0.9665 0.3891 0.6222  1 Mn 1.62, 1 Al 1.81
H 0.9665 0.5774 0.8778  1 Mn 1.62, 1 Al 1.81

Values from the calculation:
DOS at the Fermi energy ... 3.68 states/eV per cell
Total energy ... -0.2945 Ry per atom
Symmetry ... No. 163

No. 5
The following is a DFT calculation (PBE) of an optimized crystal structure of Li2Tl2Zn.

a = 7.6886 Å, b = 7.6886 Å, c = 7.6886 Å
α = 150.72°, β = 150.72°, γ = 41.88°
Last column: nearest neighbours and their distance in Å.
Fractional coordinates of all 5 atoms:
Li 0.2500 0.7500 0.5000  4 Li 2.75, 4 Tl 2.86
Li 0.7500 0.2500 0.5000  4 Li 2.75, 4 Tl 2.86
Tl 0.1035 0.1035 0.0000  4 Li 2.86, 1 Tl 2.97, 4 Zn 3.12
Tl 0.8965 0.8965 0.0000  4 Li 2.86, 1 Tl 2.97, 4 Zn 3.12
Zn 0.5000 0.5000 0.0000  8 Tl 3.12

Values from the calculation:
ΔE to the lowest computed polymorph ... 0.139 eV per atom
DOS at the Fermi energy ... 1.55 states/eV per cell
ΔE_f ... 35 meV per atom
Total energy ... -0.1420 Ry per atom
Symmetry ... No. 139

No. 6
The following is a DFT calculation (PBE) of an optimized crystal structure of Cr3AuC.

a = 5.0011 Å, b = 5.0011 Å, c = 5.0011 Å
α = 90.00°, β = 90.00°, γ = 90.00°
Last column: nearest neighbours and their distance in Å.
Fractional coordinates of all 5 atoms:
Cr 0.0000 0.0000 0.5000  2 Au 2.50
Cr 0.0000 0.5000 0.0000  2 Au 2.50
Cr 0.5000 0.0000 0.0000  2 Au 2.50
Au 0.0000 0.0000 0.0000  6 Cr 2.50
C 0.5000 0.5000 0.5000  12 Cr 3.54

Values from the calculation:
ΔE to the lowest computed polymorph ... 2.348 eV per atom
DOS at the Fermi energy ... 7.49 states/eV per cell
ΔE_f ... 2490 meV per atom
Total energy ... -0.4251 Ry per atom
Symmetry ... No. 221

No. 7
The following is a DFT calculation (PBE) of an optimized crystal structure of TaZn2Ru.

a = 3.1829 Å, b = 4.2691 Å, c = 4.4842 Å
α = 90.00°, β = 90.00°, γ = 90.00°
Last column: nearest neighbours and their distance in Å.
Fractional coordinates of all 4 atoms:
Ta 0.0000 0.0000 0.0000  4 Ru 2.66, 4 Zn 2.75
Zn 0.0000 0.5000 0.5000  4 Zn 2.66, 4 Ru 2.75
Zn 0.5000 0.0000 0.5000  4 Zn 2.66, 4 Ta 2.75
Ru 0.5000 0.5000 0.0000  4 Ta 2.66, 4 Zn 2.75

Values from the calculation:
ΔE to the lowest computed polymorph ... 0.044 eV per atom
DOS at the Fermi energy ... 1.32 states/eV per cell
ΔE_f ... -70 meV per atom
Total energy ... -0.4402 Ry per atom
Symmetry ... No. 47

No. 8
The following is a DFT calculation (PBE) of an optimized crystal structure of Pu3GaCo8.

a = 8.5590 Å, b = 8.5590 Å, c = 8.5590 Å
α = 33.59°, β = 33.59°, γ = 33.59°
Last column: nearest neighbours and their distance in Å.
Fractional coordinates of all 12 atoms:
Pu 0.0000 0.0000 0.0000  12 Co 2.90-2.97, 4 Pu 3.07
Pu 0.1267 0.1267 0.1267  12 Co 2.79-2.91, 3 Ga 2.99, 1 Pu 3.07
Pu 0.6204 0.6204 0.6204  12 Co 2.88-3.02, 1 Ga 3.01, 3 Pu 3.07
Ga 0.4962 0.4962 0.4962  12 Co 2.79-2.91, 4 Pu 2.99-3.01
Co 0.0597 0.0597 0.5583  6 Co 2.43-2.52
Co 0.0597 0.5583 0.0597  6 Co 2.43-2.52
Co 0.0671 0.5617 0.5617  6 Co 2.44-2.50
Co 0.3117 0.3117 0.3117  6 Co 2.50-2.52
Co 0.5583 0.0597 0.0597  6 Co 2.43-2.52
Co 0.5617 0.0671 0.5617  6 Co 2.44-2.50
Co 0.5617 0.5617 0.0671  6 Co 2.44-2.50
Co 0.8117 0.8117 0.8117  6 Co 2.43-2.44

Values from the calculation:
DOS at the Fermi energy ... 23.80 states/eV per cell
ΔE_f ... -158 meV per atom
Total energy ... -0.6417 Ry per atom
Symmetry ... No. 160

No. 9
The following is a DFT calculation (PBE) of an optimized crystal structure of La2Sn6Pd.

a = 4.5408 Å, b = 12.3331 Å, c = 12.3331 Å
α = 21.16°, β = 90.00°, γ = 90.00°
Last column: nearest neighbours and their distance in Å.
Fractional coordinates of all 9 atoms:
La 0.0000 0.0000 0.0000  10 Sn 3.32-3.51
La 0.0000 0.3367 0.3367  10 Sn 3.45-3.85, 4 Pd 3.47
Sn 0.0000 0.6023 0.6023  5 Sn 2.89-3.21
Sn 0.0000 0.7214 0.7214  2 Pd 2.70, 1 Sn 2.89
Sn 0.5000 0.1019 0.1019  5 Sn 2.90-3.21
Sn 0.5000 0.2214 0.2214  2 Pd 2.70, 1 Sn 2.90
Sn 0.5000 0.4650 0.4650  2 Sn 2.91
Sn 0.5000 0.8895 0.8895  1 Pd 2.61, 2 Sn 2.91
Pd 0.5000 0.7819 0.7819  5 Sn 2.61-2.70

Values from the calculation:
ΔE to the lowest computed polymorph ... 0.000 eV per atom
DOS at the Fermi energy ... 2.88 states/eV per cell
ΔE_f ... -601 meV per atom
Total energy ... -0.3632 Ry per atom
Symmetry ... No. 38

Question: Which of these has the lowest DOS at the Fermi energy?
Answer: TaZn2Ru